A plane-wave DFT calculation with PBE-GGA was carried out for an optimized crystal structure of Ag2IBr2.

DOS at the Fermi energy = 4.71 states/eV/f.u.
symmetry = P4/mbm, No. 127
formation energy without anion corrections = -0.01 eV/atom
ΔE to the lowest computed polymorph = 1.099 eV/f.u.
E_tot = -2.127 eV per atom

a b c (Å): 8.3617 8.3617 3.7177
angles (deg): 90.00 90.00 90.00
Last column: nearest neighbours and their distance in Å.
Positions (direct):
Ag: 0.8342 0.6658 0.0000  6 Br 2.92-3.19, 2 I 3.12
Br: 0.6433 0.8567 0.5000  6 Ag 2.92-3.19
Br: 0.3567 0.1433 0.5000  6 Ag 2.92-3.19
I: 0.0000 0.0000 0.0000  4 Ag 3.12
I: 0.5000 0.5000 0.0000  4 Ag 3.12
Ag: 0.3342 0.8342 0.0000  6 Br 2.92-3.19, 2 I 3.12
Br: 0.1433 0.6433 0.5000  6 Ag 2.92-3.19
Ag: 0.1658 0.3342 0.0000  6 Br 2.92-3.19, 2 I 3.12
Br: 0.8567 0.3567 0.5000  6 Ag 2.92-3.19
Ag: 0.6658 0.1658 0.0000  6 Br 2.92-3.19, 2 I 3.12

A plane-wave DFT calculation with PBE-GGA was carried out for an optimized crystal structure of AgIBr2.

DOS at the Fermi energy = 0.68 states/eV/f.u.
symmetry = P6_3/mmc, No. 194
formation energy without anion corrections = -0.17 eV/atom
ΔE to the lowest computed polymorph = 0.005 eV/f.u.
E_tot = -2.103 eV per atom

a b c (Å): 4.4106 4.4107 16.6795
angles (deg): 90.00 90.00 120.00
Last column: nearest neighbours and their distance in Å.
Positions (direct):
Br: 0.3333 0.6667 0.0851  1 I 2.75, 3 Ag 2.92
Br: 0.3333 0.6667 0.4149  1 I 2.75, 3 Ag 2.92
Ag: 0.0000 0.0000 0.5000  6 Br 2.92
I: 0.6667 0.3334 0.7500  2 Br 2.75
I: 0.3333 0.6667 0.2500  2 Br 2.75
Ag: 0.0000 0.0000 0.0000  6 Br 2.92
Br: 0.6667 0.3333 0.5851  1 I 2.75, 3 Ag 2.92
Br: 0.6667 0.3333 0.9149  1 I 2.75, 3 Ag 2.92

A plane-wave DFT calculation with PBE-GGA was carried out for an optimized crystal structure of Ag5I2Br4.

DOS at the Fermi energy = 10.51 states/eV/f.u.
symmetry = R-3m, No. 166
formation energy without anion corrections = -0.25 eV/atom
E_tot = -2.438 eV per atom

a b c (Å): 4.3193 4.3194 20.8638
angles (deg): 84.06 84.06 60.00
Last column: nearest neighbours and their distance in Å.
Positions (direct):
I: 0.1388 0.1388 0.5835  6 Ag 3.03-3.17
Br: 0.6949 0.6949 0.9154  3 Ag 2.65
Br: 0.4205 0.4205 0.7385  4 Ag 2.78-2.79
I: 0.8612 0.8612 0.4165  6 Ag 3.03-3.17
Ag: 0.7740 0.7740 0.6780  3 Br 2.79
Ag: 0.3758 0.3758 0.8726  4 Br 2.65-2.78
Br: 0.3051 0.3051 0.0846  3 Ag 2.65
Ag: 0.5000 0.5000 0.5000  6 I 3.03
Ag: 0.2260 0.2260 0.3220  3 Br 2.79
Br: 0.5795 0.5795 0.2615  4 Ag 2.78-2.79
Ag: 0.6242 0.6242 0.1274  4 Br 2.65-2.78

A plane-wave DFT calculation with PBE-GGA was carried out for an optimized crystal structure of AgI2Br8.

DOS at the Fermi energy = 9.43 states/eV/f.u.
symmetry = C2/m, No. 12
formation energy without anion corrections = 0.04 eV/atom
ΔE to the lowest computed polymorph = 0.879 eV/f.u.
E_tot = -1.721 eV per atom

a b c (Å): 10.3858 8.0801 8.0801
angles (deg): 62.89 114.70 114.70
Last column: nearest neighbours and their distance in Å.
Positions (direct):
I: 0.5754 0.6776 0.6776  2 Br 2.64-2.66
Br: 0.5713 0.2111 0.2111  1 I 2.64
Br: 0.4287 0.7889 0.7889  1 I 2.64
Br: 0.8435 0.0995 0.6603  1 Ag 2.48
Br: 0.7124 0.5579 0.5579  1 I 2.66
Br: 0.1565 0.9005 0.3397  1 Ag 2.48
Br: 0.1565 0.3397 0.9005  1 Ag 2.48
Ag: 0.0000 0.0000 0.0000  4 Br 2.48
Br: 0.2876 0.4421 0.4421  1 I 2.66
Br: 0.8435 0.6603 0.0995  1 Ag 2.48
I: 0.4246 0.3224 0.3224  2 Br 2.64-2.66

A plane-wave DFT calculation with PBE-GGA was carried out for an optimized crystal structure of Ag2IBr2.

DOS at the Fermi energy = 1.87 states/eV/f.u.
symmetry = C2/m, No. 12
formation energy without anion corrections = -0.23 eV/atom
ΔE to the lowest computed polymorph = 0.000 eV/f.u.
E_tot = -2.347 eV per atom

a b c (Å): 5.3001 8.3005 9.9213
angles (deg): 123.34 90.00 108.62
Last column: nearest neighbours and their distance in Å.
Positions (direct):
Br: 0.6673 0.3346 0.5629  3 Ag 2.70-2.71
Ag: 0.8498 0.6996 0.4062  4 Br 2.70-2.97, 1 I 2.80
I: 0.6495 0.2989 0.1094  3 Ag 2.80-2.88
Ag: 0.4782 0.9563 0.7694  3 Br 2.71-2.84, 2 I 2.85-2.88
Br: 0.9788 0.9576 0.2765  4 Ag 2.71-2.97
Br: 0.0212 0.0424 0.7235  4 Ag 2.71-2.97
Ag: 0.1502 0.3004 0.5938  4 Br 2.70-2.97, 1 I 2.80
Br: 0.3327 0.6654 0.4371  3 Ag 2.70-2.71
Ag: 0.5218 0.0437 0.2306  3 Br 2.71-2.84, 2 I 2.85-2.88
I: 0.3505 0.7011 0.8906  3 Ag 2.80-2.88

A plane-wave DFT calculation with PBE-GGA was carried out for an optimized crystal structure of AgIBr.

symmetry = P1, No. 1
formation energy without anion corrections = -0.17 eV/atom
ΔE to the lowest computed polymorph = 0.132 eV/f.u.
E_tot = -2.197 eV per atom

a b c (Å): 4.3567 5.9976 8.1941
angles (deg): 106.75 90.78 102.68
Last column: nearest neighbours and their distance in Å.
Positions (direct):
Br: 0.1728 0.6084 0.6787  2 Ag 2.72-2.93, 1 I 2.79
Ag: 0.1683 0.0606 0.2260  2 Br 2.73, 1 I 2.98
Br: 0.6683 0.0417 0.4228  3 Ag 2.73-2.94
Ag: 0.6198 0.5573 0.4515  3 Br 2.72-2.94, 1 I 2.86
I: 0.5138 0.0318 0.9114  1 Br 2.79, 1 I 2.96, 1 Ag 2.98
I: 0.9271 0.4750 0.1410  2 Ag 2.86-3.14, 1 I 2.96

A plane-wave DFT calculation with PBE-GGA was carried out for an optimized crystal structure of Ag12I5Br3.

DOS at the Fermi energy = 3.76 states/eV/f.u.
symmetry = Ia-3d, No. 230
formation energy without anion corrections = 0.05 eV/atom
E_tot = -2.304 eV per atom

a b c (Å): 14.7858 14.7858 14.7858
angles (deg): 109.47 109.47 109.47
Last column: nearest neighbours and their distance in Å.
Positions (direct):
Ag: 0.1486 0.0690 0.7279  3 Ag 2.80-3.11, 2 Br 2.91-3.04, 2 I 2.92-3.04
I: 0.3750 0.1250 0.7500  4 Ag 3.04
Ag: 0.9310 0.8514 0.7721  3 Ag 2.80-3.11, 2 Br 2.91-3.04, 2 I 2.92-3.04
Ag: 0.9206 0.5795 0.1486  3 Ag 2.80-3.11, 2 Br 2.91-3.04, 2 I 2.92-3.04
Ag: 0.5690 0.7279 0.6486  3 Ag 2.80-3.11, 2 Br 2.91-3.04, 2 I 2.92-3.04
Ag: 0.3411 0.9206 0.7721  3 Ag 2.80-3.11, 2 Br 2.91-3.04, 2 I 2.92-3.04
I: 0.7500 0.6250 0.3750  4 Ag 3.04
I: 0.0000 0.0000 0.5000  6 Ag 2.92
I: 0.6250 0.7500 0.8750  4 Ag 3.04
Ag: 0.0795 0.9310 0.1589  3 Ag 2.80-3.11, 2 Br 2.91-3.04, 2 I 2.92-3.04
Ag: 0.0690 0.9205 0.3411  3 Ag 2.80-3.11, 2 Br 2.91-3.04, 2 I 2.92-3.04
I: 0.0000 0.5000 0.5000  6 Ag 2.92
Ag: 0.5690 0.8411 0.4205  3 Ag 2.80-3.11, 2 Br 2.91-3.04, 2 I 2.92-3.04
Ag: 0.8514 0.9310 0.2721  3 Ag 2.80-3.11, 2 Br 2.91-3.04, 2 I 2.92-3.04
Ag: 0.7279 0.5690 0.1486  3 Ag 2.80-3.11, 2 Br 2.91-3.04, 2 I 2.92-3.04
Br: 0.1250 0.2500 0.8750  8 Ag 2.91-3.04
Br: 0.2500 0.6250 0.8750  8 Ag 2.91-3.04
Br: 0.2500 0.1250 0.3750  8 Ag 2.91-3.04
Ag: 0.7721 0.4206 0.3411  3 Ag 2.80-3.11, 2 Br 2.91-3.04, 2 I 2.92-3.04
I: 0.3750 0.2500 0.1250  4 Ag 3.04
Ag: 0.5795 0.6589 0.4310  3 Ag 2.80-3.11, 2 Br 2.91-3.04, 2 I 2.92-3.04
Ag: 0.0690 0.1486 0.2279  3 Ag 2.80-3.11, 2 Br 2.91-3.04, 2 I 2.92-3.04
Ag: 0.5794 0.2279 0.1589  3 Ag 2.80-3.11, 2 Br 2.91-3.04, 2 I 2.92-3.04
Br: 0.7500 0.3750 0.1250  8 Ag 2.91-3.04
Ag: 0.2279 0.5794 0.6589  3 Ag 2.80-3.11, 2 Br 2.91-3.04, 2 I 2.92-3.04
Ag: 0.3411 0.4205 0.0690  3 Ag 2.80-3.11, 2 Br 2.91-3.04, 2 I 2.92-3.04
Ag: 0.7279 0.1589 0.0794  3 Ag 2.80-3.11, 2 Br 2.91-3.04, 2 I 2.92-3.04
Ag: 0.1486 0.0795 0.9206  3 Ag 2.80-3.11, 2 Br 2.91-3.04, 2 I 2.92-3.04
I: 0.5000 0.0000 0.5000  6 Ag 2.92
Ag: 0.6486 0.2279 0.5690  3 Ag 2.80-3.11, 2 Br 2.91-3.04, 2 I 2.92-3.04
I: 0.5000 0.5000 0.5000  6 Ag 2.92
I: 0.1250 0.3750 0.2500  4 Ag 3.04
Ag: 0.8411 0.5690 0.9205  3 Ag 2.80-3.11, 2 Br 2.91-3.04, 2 I 2.92-3.04
Ag: 0.9205 0.0690 0.8411  3 Ag 2.80-3.11, 2 Br 2.91-3.04, 2 I 2.92-3.04
Br: 0.3750 0.6250 0.2500  8 Ag 2.91-3.04
I: 0.0000 0.5000 0.0000  6 Ag 2.92
I: 0.8750 0.6250 0.7500  4 Ag 3.04
Ag: 0.6589 0.5795 0.9310  3 Ag 2.80-3.11, 2 Br 2.91-3.04, 2 I 2.92-3.04
Ag: 0.9206 0.3411 0.2721  3 Ag 2.80-3.11, 2 Br 2.91-3.04, 2 I 2.92-3.04
Br: 0.3750 0.7500 0.6250  8 Ag 2.91-3.04
Ag: 0.4310 0.2721 0.3514  3 Ag 2.80-3.11, 2 Br 2.91-3.04, 2 I 2.92-3.04
Ag: 0.9205 0.8514 0.5794  3 Ag 2.80-3.11, 2 Br 2.91-3.04, 2 I 2.92-3.04
I: 0.8750 0.2500 0.6250  4 Ag 3.04
Br: 0.6250 0.2500 0.3750  8 Ag 2.91-3.04
Ag: 0.0794 0.6589 0.7279  3 Ag 2.80-3.11, 2 Br 2.91-3.04, 2 I 2.92-3.04
Ag: 0.1589 0.7279 0.5794  3 Ag 2.80-3.11, 2 Br 2.91-3.04, 2 I 2.92-3.04
I: 0.6250 0.8750 0.2500  4 Ag 3.04
Ag: 0.6486 0.4206 0.5795  3 Ag 2.80-3.11, 2 Br 2.91-3.04, 2 I 2.92-3.04
I: 0.5000 0.0000 0.0000  6 Ag 2.92
Ag: 0.4310 0.1589 0.5795  3 Ag 2.80-3.11, 2 Br 2.91-3.04, 2 I 2.92-3.04
Ag: 0.1589 0.4310 0.0795  3 Ag 2.80-3.11, 2 Br 2.91-3.04, 2 I 2.92-3.04
Ag: 0.4206 0.7721 0.8411  3 Ag 2.80-3.11, 2 Br 2.91-3.04, 2 I 2.92-3.04
Br: 0.1250 0.8750 0.7500  8 Ag 2.91-3.04
Ag: 0.4205 0.3411 0.5690  3 Ag 2.80-3.11, 2 Br 2.91-3.04, 2 I 2.92-3.04
Ag: 0.3514 0.7721 0.4310  3 Ag 2.80-3.11, 2 Br 2.91-3.04, 2 I 2.92-3.04
Ag: 0.4206 0.6486 0.0795  3 Ag 2.80-3.11, 2 Br 2.91-3.04, 2 I 2.92-3.04
Ag: 0.7721 0.3514 0.9310  3 Ag 2.80-3.11, 2 Br 2.91-3.04, 2 I 2.92-3.04
I: 0.2500 0.3750 0.6250  4 Ag 3.04
Ag: 0.8514 0.9205 0.0794  3 Ag 2.80-3.11, 2 Br 2.91-3.04, 2 I 2.92-3.04
I: 0.1250 0.7500 0.3750  4 Ag 3.04
Ag: 0.8411 0.2721 0.4206  3 Ag 2.80-3.11, 2 Br 2.91-3.04, 2 I 2.92-3.04
Ag: 0.9310 0.0795 0.6589  3 Ag 2.80-3.11, 2 Br 2.91-3.04, 2 I 2.92-3.04
I: 0.7500 0.1250 0.8750  4 Ag 3.04
Ag: 0.2721 0.8411 0.9206  3 Ag 2.80-3.11, 2 Br 2.91-3.04, 2 I 2.92-3.04
Ag: 0.3514 0.5794 0.4205  3 Ag 2.80-3.11, 2 Br 2.91-3.04, 2 I 2.92-3.04
Ag: 0.5794 0.3514 0.9205  3 Ag 2.80-3.11, 2 Br 2.91-3.04, 2 I 2.92-3.04
I: 0.2500 0.8750 0.1250  4 Ag 3.04
Ag: 0.6589 0.0794 0.2279  3 Ag 2.80-3.11, 2 Br 2.91-3.04, 2 I 2.92-3.04
Ag: 0.2721 0.4310 0.8514  3 Ag 2.80-3.11, 2 Br 2.91-3.04, 2 I 2.92-3.04
Ag: 0.4205 0.0794 0.3514  3 Ag 2.80-3.11, 2 Br 2.91-3.04, 2 I 2.92-3.04
Br: 0.7500 0.8750 0.6250  8 Ag 2.91-3.04
Ag: 0.2279 0.6486 0.0690  3 Ag 2.80-3.11, 2 Br 2.91-3.04, 2 I 2.92-3.04
I: 0.5000 0.5000 0.0000  6 Ag 2.92
Br: 0.6250 0.3750 0.7500  8 Ag 2.91-3.04
Ag: 0.0794 0.4205 0.8514  3 Ag 2.80-3.11, 2 Br 2.91-3.04, 2 I 2.92-3.04
Br: 0.8750 0.7500 0.1250  8 Ag 2.91-3.04
Ag: 0.0795 0.1486 0.4206  3 Ag 2.80-3.11, 2 Br 2.91-3.04, 2 I 2.92-3.04
I: 0.0000 0.0000 0.0000  6 Ag 2.92
Ag: 0.5795 0.9206 0.6486  3 Ag 2.80-3.11, 2 Br 2.91-3.04, 2 I 2.92-3.04
Br: 0.8750 0.1250 0.2500  8 Ag 2.91-3.04

A plane-wave DFT calculation with PBE-GGA was carried out for an optimized crystal structure of Ag2I3Br6.

DOS at the Fermi energy = 6.03 states/eV/f.u.
symmetry = P-1, No. 2
formation energy without anion corrections = -0.15 eV/atom
E_tot = -2.001 eV per atom

a b c (Å): 7.3516 8.1558 17.3390
angles (deg): 74.99 75.51 56.48
Last column: nearest neighbours and their distance in Å.
Positions (direct):
I: 0.4237 0.2724 0.7524  2 Br 2.69-2.74
Br: 0.5270 0.6640 0.4126  1 I 2.74, 2 Ag 2.77-2.81
Br: 0.9745 0.0907 0.0875  1 I 2.74, 2 Ag 2.77-2.80
I: 0.9255 0.0507 0.2522  2 Br 2.69-2.74
Br: 0.0255 0.9093 0.9125  1 I 2.74, 2 Ag 2.77-2.80
Br: 0.8630 0.0251 0.4137  1 I 2.69, 1 Ag 2.76
I: 0.7488 0.5996 0.7497  2 Br 2.72
Ag: 0.1509 0.6734 0.5008  4 Br 2.73-2.81
Br: 0.4730 0.3360 0.5874  1 I 2.74, 2 Ag 2.77-2.81
I: 0.0745 0.9493 0.7478  2 Br 2.69-2.74
Br: 0.8018 0.6431 0.5862  1 I 2.72, 1 Ag 2.73
Br: 0.1370 0.9749 0.5863  1 I 2.69, 1 Ag 2.76
Ag: 0.3497 0.8226 0.9996  4 Br 2.73-2.80
Ag: 0.6503 0.1774 0.0004  4 Br 2.73-2.80
Br: 0.3589 0.2105 0.9147  1 I 2.69, 1 Ag 2.76
I: 0.5763 0.7276 0.2476  2 Br 2.69-2.74
I: 0.2512 0.4004 0.2503  2 Br 2.72
Br: 0.3013 0.4588 0.0864  1 I 2.72, 1 Ag 2.73
Br: 0.1982 0.3569 0.4138  1 I 2.72, 1 Ag 2.73
Ag: 0.8491 0.3266 0.4992  4 Br 2.73-2.81
Br: 0.6411 0.7895 0.0853  1 I 2.69, 1 Ag 2.76
Br: 0.6987 0.5412 0.9136  1 I 2.72, 1 Ag 2.73

A plane-wave DFT calculation with PBE-GGA was carried out for an optimized crystal structure of Ag2IBr6.

DOS at the Fermi energy = 2.01 states/eV/f.u.
symmetry = C2/c, No. 15
formation energy without anion corrections = -0.11 eV/atom
ΔE to the lowest computed polymorph = 0.000 eV/f.u.
E_tot = -2.033 eV per atom

a b c (Å): 8.4963 9.0613 9.0613
angles (deg): 83.56 87.77 87.77
Last column: nearest neighbours and their distance in Å.
Positions (direct):
Br: 0.4204 0.3980 0.4006  2 Ag 2.53-2.68
Br: 0.8056 0.2520 0.0165  1 Ag 2.58, 1 I 2.82
Br: 0.1944 0.7480 0.9835  1 Ag 2.58, 1 I 2.82
Ag: 0.1678 0.2462 0.3499  3 Br 2.53-2.68
Br: 0.3056 0.0165 0.2520  1 Ag 2.58, 1 I 2.82
Br: 0.6971 0.6577 0.0635  1 I 2.65
Br: 0.8029 0.9365 0.3423  1 I 2.65
Br: 0.3029 0.3423 0.9365  1 I 2.65
Br: 0.6944 0.9835 0.7480  1 Ag 2.58, 1 I 2.82
Br: 0.5796 0.6020 0.5994  2 Ag 2.53-2.68
Br: 0.1971 0.0635 0.6577  1 I 2.65
Ag: 0.8322 0.7538 0.6501  3 Br 2.53-2.68
I: 0.2500 0.0552 0.9448  4 Br 2.65-2.82
Br: 0.9204 0.4006 0.3980  2 Ag 2.53-2.68
Br: 0.0796 0.5994 0.6020  2 Ag 2.53-2.68
Ag: 0.3322 0.6501 0.7538  3 Br 2.53-2.68
Ag: 0.6678 0.3499 0.2462  3 Br 2.53-2.68
I: 0.7500 0.9448 0.0552  4 Br 2.65-2.82

A plane-wave DFT calculation with PBE-GGA was carried out for an optimized crystal structure of AgIBr.

symmetry = P1, No. 1
formation energy without anion corrections = -0.20 eV/atom
ΔE to the lowest computed polymorph = 0.039 eV/f.u.
E_tot = -2.228 eV per atom

a b c (Å): 4.4751 6.3786 8.1389
angles (deg): 70.89 88.07 84.15
Last column: nearest neighbours and their distance in Å.
Positions (direct):
Ag: 0.6918 0.8951 0.3048  2 Br 2.74-2.75, 2 I 2.83-2.89
Ag: 0.0550 0.1701 0.5586  3 Br 2.70-2.79, 1 I 2.84
Br: 0.5450 0.2956 0.3618  3 Ag 2.70-2.75
I: 0.0647 0.2971 0.8620  1 Br 2.84, 1 Ag 2.84, 1 I 2.94
I: 0.2196 0.8442 0.1014  2 Ag 2.83-2.89, 1 I 2.94
Br: 0.8880 0.7369 0.6427  2 Ag 2.74-2.79, 1 I 2.84

A plane-wave DFT calculation with PBE-GGA was carried out for an optimized crystal structure of Ag3I2Br.

symmetry = Imm2, No. 44
formation energy without anion corrections = -0.28 eV/atom
E_tot = -2.505 eV per atom

a b c (Å): 4.6196 6.5018 7.9889
angles (deg): 114.01 106.81 90.00
Last column: nearest neighbours and their distance in Å.
Positions (direct):
Ag: 0.3364 0.3283 0.6728  1 Br 2.76, 3 I 2.85
Ag: 0.6636 0.6555 0.3272  1 Br 2.76, 3 I 2.85
Ag: 0.0000 0.0127 0.0000  2 Br 2.77, 2 I 2.85
I: 0.1647 0.9139 0.3294  4 Ag 2.85
Br: 0.5000 0.2482 0.0000  4 Ag 2.76-2.77
I: 0.8353 0.5844 0.6706  4 Ag 2.85

A plane-wave DFT calculation with PBE-GGA was carried out for an optimized crystal structure of AgIBr2.

DOS at the Fermi energy = 3.65 states/eV/f.u.
symmetry = R-3m, No. 166
formation energy without anion corrections = 0.12 eV/atom
ΔE to the lowest computed polymorph = 1.164 eV/f.u.
E_tot = -1.813 eV per atom

a b c (Å): 13.5039 13.5039 13.5039
angles (deg): 14.59 14.59 14.59
Last column: nearest neighbours and their distance in Å.
Positions (direct):
Br: 0.0616 0.0616 0.0616  1 Ag 2.47
I: 0.5000 0.5000 0.5000  6 I 3.43
Ag: 0.0000 0.0000 0.0000  2 Br 2.47
Br: 0.9384 0.9384 0.9384  1 Ag 2.47

Q: E_tot of number 3 (Ag5I2Br4)?
A: -2.438 eV per atom